DFT (GGA-PBE) results for crystalline La2IrI2 at its relaxed geometry.

Distance to the lowest polymorph of the same formula = 4.057 eV per formula unit
Formation energy (no corrections) = -320 meV per atom
Space group = I4/mmm, No. 139
Crystal system = tetragonal
Volume = 32.1 Å³/atom
DFT total energy = -23.41 eV per formula unit

a b c (Å): 6.057 6.057 6.057
angles (deg): 118.45 118.45 92.71
Atoms (fractional coordinates):
La  0.250  0.750  0.500
La  0.750  0.250  0.500
Ir  0.000  0.000  0.000
I  0.304  0.304  0.000
I  0.696  0.696  0.000